[1]
## HoPu5Rh6 (GGA-PBE)

Data for crystalline HoPu5Rh6 at its relaxed geometry.

Cell: 4.8330 6.8420 8.3878 Å, 114.07 106.74 90.00°
With the nearest neighbours (Å) after each atom.
Fractional positions:
Pu 0.3342 0.3342 0.6684  8 Rh 2.97
Pu 0.6658 0.6658 0.3316  8 Rh 2.97
Pu 0.6687 0.1687 0.3373  8 Rh 2.95-2.98
Pu 0.0000 0.5000 0.0000  8 Rh 2.97
Pu 0.3313 0.8313 0.6627  8 Rh 2.95-2.98
Rh 0.8336 0.5849 0.6673  7 Pu 2.95-2.97, 1 Ho 2.96
Rh 0.1664 0.4151 0.3327  7 Pu 2.95-2.97, 1 Ho 2.96
Rh 0.5000 0.7531 0.0000  2 Ho 2.95, 6 Pu 2.97-2.98
Rh 0.5000 0.2469 0.0000  2 Ho 2.95, 6 Pu 2.97-2.98
Rh 0.8336 0.0824 0.6673  7 Pu 2.95-2.97, 1 Ho 2.96
Rh 0.1664 0.9176 0.3327  7 Pu 2.95-2.97, 1 Ho 2.96
Ho 0.0000 0.0000 0.0000  8 Rh 2.95-2.96

Calculated values
energy of formation from the pure elements: -0.4664 eV per atom
theoretical density: 13.84 g/cm3
space-group type: Immm (71)

[2]
## HoPuRh (GGA-PBE)

Data for crystalline HoPuRh at its relaxed geometry.

Cell: 3.4549 3.4549 6.4373 Å, 105.57 105.57 90.00°
With the nearest neighbours (Å) after each atom.
Fractional positions:
Pu 0.0275 0.0275 0.0551  4 Rh 2.96, 1 Ho 3.29
Ho 0.3039 0.3039 0.6078  4 Rh 2.93
Rh 0.6686 0.6686 0.3371  4 Ho 2.93, 4 Pu 2.96

Calculated values
energy of formation from the pure elements: -0.3681 eV per atom
theoretical density: 11.96 g/cm3
distance to the lowest polymorph of the same formula: 28 kJ/mol of formula units
space-group type: I4mm (107)